1.
Material: NaGe3Pd
Method: DFT, PBE-GGA
State: relaxed

abc: 5.6890 8.7377 7.8361
angles: 90.00 90.00 90.00
Positions (direct):
Na (0.2134, 0.2500, 0.1589)
Na (0.2866, 0.7500, 0.6589)
Na (0.7134, 0.2500, 0.3411)
Na (0.7866, 0.7500, 0.8411)
Ge (0.1492, 0.0886, 0.8068)
Ge (0.1492, 0.4114, 0.8068)
Ge (0.2339, 0.7500, 0.0345)
Ge (0.2661, 0.2500, 0.5345)
Ge (0.3508, 0.5886, 0.3068)
Ge (0.3508, 0.9114, 0.3068)
Ge (0.6492, 0.0886, 0.6932)
Ge (0.6492, 0.4114, 0.6932)
Ge (0.7339, 0.7500, 0.4655)
Ge (0.7661, 0.2500, 0.9655)
Ge (0.8508, 0.5886, 0.1932)
Ge (0.8508, 0.9114, 0.1932)
Pd (0.0000, 0.0000, 0.5000)
Pd (0.0000, 0.5000, 0.5000)
Pd (0.5000, 0.0000, 0.0000)
Pd (0.5000, 0.5000, 0.0000)

Properties
The offset from the most stable computed form comes out at 77.2 meV per atom. The formation enthalpy at 0 K is -0.151 eV/atom. As for the total magnetization: 0.000 μB/atom.



2.
Material: Na2Ge2Pd
Method: DFT, PBE-GGA
State: relaxed

abc: 8.0417 8.0417 5.6600
angles: 90.00 90.00 142.70
Positions (direct):
Na (0.0678, 0.9322, 0.7500)
Na (0.3028, 0.6972, 0.2500)
Na (0.6972, 0.3028, 0.7500)
Na (0.9322, 0.0678, 0.2500)
Ge (0.1358, 0.3721, 0.7500)
Ge (0.3721, 0.1358, 0.2500)
Ge (0.6279, 0.8642, 0.7500)
Ge (0.8642, 0.6279, 0.2500)
Pd (0.5000, 0.5000, 0.0000)
Pd (0.5000, 0.5000, 0.5000)

Properties
The offset from the most stable computed form comes out at 34.1 meV per atom. The formation enthalpy at 0 K is -0.221 eV/atom. As for the total magnetization: 0.000 μB/atom.



3.
Material: NaGePd
Method: DFT, PBE-GGA
State: relaxed

abc: 4.7849 4.8046 5.9328
angles: 106.20 108.57 104.17
Positions (direct):
Na (0.1774, 0.3088, 0.4899)
Na (0.8226, 0.6912, 0.5101)
Ge (0.2644, 0.7615, 0.1522)
Ge (0.7356, 0.2385, 0.8478)
Pd (0.3027, 0.2040, 0.0035)
Pd (0.6973, 0.7960, 0.9965)

Properties
The formation enthalpy at 0 K is -0.359 eV/atom. As for the total magnetization: 0.000 μB/atom.



4.
Material: NaGe3Pd2
Method: DFT, PBE-GGA
State: relaxed

abc: 7.1743 7.1743 8.1493
angles: 90.00 90.00 145.55
Positions (direct):
Na (0.1938, 0.8062, 0.7500)
Na (0.8062, 0.1938, 0.2500)
Ge (0.1178, 0.8822, 0.2500)
Ge (0.3840, 0.6160, 0.5247)
Ge (0.3840, 0.6160, 0.9753)
Ge (0.6160, 0.3840, 0.0247)
Ge (0.6160, 0.3840, 0.4753)
Ge (0.8822, 0.1178, 0.7500)
Pd (0.0000, 0.0000, 0.0000)
Pd (0.0000, 0.0000, 0.5000)
Pd (0.4691, 0.5309, 0.2500)
Pd (0.5309, 0.4691, 0.7500)

Properties
The offset from the most stable computed form comes out at 0.0 meV per atom. The formation enthalpy at 0 K is -0.223 eV/atom. As for the total magnetization: 0.000 μB/atom.



5.
Material: Na3GePd
Method: DFT, PBE-GGA
State: relaxed

abc: 5.4648 5.4648 5.4648
angles: 90.00 90.00 90.00
Positions (direct):
Na (0.0000, 0.0000, 0.5000)
Na (0.0000, 0.5000, 0.0000)
Na (0.5000, 0.0000, 0.0000)
Ge (0.0000, 0.0000, 0.0000)
Pd (0.5000, 0.5000, 0.5000)

Properties
The offset from the most stable computed form comes out at 654.0 meV per atom. The formation enthalpy at 0 K is 0.541 eV/atom. As for the total magnetization: 0.210 μB/atom.



6.
Material: Na2GePd
Method: DFT, PBE-GGA
State: relaxed

abc: 5.7851 5.7851 5.7851
angles: 44.74 44.74 44.74
Positions (direct):
Na (0.0000, 0.0000, 0.0000)
Na (0.2194, 0.2194, 0.2194)
Ge (0.7739, 0.7739, 0.7739)
Pd (0.4417, 0.4417, 0.4417)

Properties
The formation enthalpy at 0 K is -0.227 eV/atom. As for the total magnetization: 0.000 μB/atom.



7.
Material: Na2GePd
Method: DFT, PBE-GGA
State: relaxed

abc: 8.0372 8.0372 8.0372
angles: 94.88 94.88 146.10
Positions (direct):
Na (0.3750, 0.1788, 0.3038)
Na (0.8212, 0.1250, 0.1962)
Na (0.8750, 0.0712, 0.6962)
Na (0.9288, 0.6250, 0.8038)
Ge (0.2500, 0.7500, 0.5000)
Ge (0.5000, 0.5000, 0.0000)
Pd (0.0000, 0.0000, 0.0000)
Pd (0.7500, 0.2500, 0.5000)

Properties
The formation enthalpy at 0 K is -0.042 eV/atom. As for the total magnetization: 0.000 μB/atom.



8.
Material: NaGe3Pd
Method: DFT, PBE-GGA
State: relaxed

abc: 6.2529 6.2529 6.2529
angles: 139.66 139.66 58.37
Positions (direct):
Na (0.0000, 0.0000, 0.0000)
Ge (0.2592, 0.7592, 0.5000)
Ge (0.6120, 0.6120, 0.0000)
Ge (0.7592, 0.2592, 0.5000)
Pd (0.3840, 0.3840, 0.0000)

Properties
The offset from the most stable computed form comes out at 0.0 meV per atom. The formation enthalpy at 0 K is -0.228 eV/atom. As for the total magnetization: 0.000 μB/atom.